1.
A geometry-optimized Sm3In3Cu2Ir structure, computed with GGA-PBE.

VASP energy, eV/atom: -4.7520

Unit cell a=7.5475 b=7.5475 c=4.1079 alpha=90.00 beta=90.00 gamma=120.00
With the nearest neighbours (Å) after each atom.
Element x y z (fractional)
1 In 0.0000 0.2569 0.5000  2 Ir 2.82, 2 Cu 2.85
2 In 0.2569 0.0000 0.5000  2 Ir 2.82, 2 Cu 2.85
3 In 0.7431 0.7431 0.5000  2 Ir 2.82, 2 Cu 2.85
4 Sm 0.4041 0.4041 0.0000  1 Ir 3.05, 4 Cu 3.08, 6 In 3.28-3.37
5 Sm 0.5959 0.0000 0.0000  1 Ir 3.05, 4 Cu 3.08, 6 In 3.28-3.37
6 Sm 0.0000 0.5959 0.0000  1 Ir 3.05, 4 Cu 3.08, 6 In 3.28-3.37
7 Ir 0.0000 0.0000 0.0000  6 In 2.82, 3 Sm 3.05
8 Cu 0.3333 0.6667 0.5000  3 In 2.85, 6 Sm 3.08
9 Cu 0.6667 0.3333 0.5000  3 In 2.85, 6 Sm 3.08

=====

2.
A geometry-optimized Tb3In3CuIr2 structure, computed with GGA-PBE.

VASP energy, eV/atom: -5.4633

Unit cell a=7.5624 b=7.5624 c=3.8857 alpha=90.00 beta=90.00 gamma=120.00
With the nearest neighbours (Å) after each atom.
Element x y z (fractional)
1 In 0.7478 0.7478 0.5000  2 Cu 2.72, 2 Ir 2.88
2 In 0.2522 0.0000 0.5000  2 Cu 2.72, 2 Ir 2.88
3 In 0.0000 0.2522 0.5000  2 Cu 2.72, 2 Ir 2.88
4 Tb 0.5873 0.0000 0.0000  4 Ir 3.00, 1 Cu 3.12, 6 In 3.19-3.35
5 Tb 0.0000 0.5872 0.0000  4 Ir 3.00, 1 Cu 3.12, 6 In 3.19-3.35
6 Tb 0.4128 0.4128 0.0000  4 Ir 3.00, 1 Cu 3.12, 6 In 3.19-3.35
7 Cu 0.0000 0.0000 0.0000  6 In 2.72
8 Ir 0.6667 0.3333 0.5000  3 In 2.88, 6 Tb 3.00
9 Ir 0.3333 0.6667 0.5000  3 In 2.88, 6 Tb 3.00

=====

3.
A geometry-optimized Tb3In3Cu2Ir structure, computed with GGA-PBE.

VASP energy, eV/atom: -4.7421

Unit cell a=7.5010 b=7.5010 c=4.0009 alpha=90.00 beta=90.00 gamma=120.00
With the nearest neighbours (Å) after each atom.
Element x y z (fractional)
1 In 0.0000 0.2602 0.5000  2 Ir 2.79, 2 Cu 2.82
2 In 0.7398 0.7398 0.5000  2 Ir 2.79, 2 Cu 2.82
3 In 0.2602 0.0000 0.5000  2 Ir 2.79, 2 Cu 2.82
4 Ir 0.0000 0.0000 0.0000  6 In 2.79, 3 Tb 3.01
5 Tb 0.4013 0.4013 0.0000  1 Ir 3.01, 4 Cu 3.04, 6 In 3.23-3.32
6 Tb 0.5987 0.0000 0.0000  1 Ir 3.01, 4 Cu 3.04, 6 In 3.23-3.32
7 Tb 0.0000 0.5987 0.0000  1 Ir 3.01, 4 Cu 3.04, 6 In 3.23-3.32
8 Cu 0.6667 0.3333 0.5000  3 In 2.82, 6 Tb 3.04
9 Cu 0.3333 0.6667 0.5000  3 In 2.82, 6 Tb 3.04

=====

4.
A geometry-optimized InCuTcIr structure, computed with GGA-PBE.

Polymorph energy (0 for the lowest one), meV per atom: 0

Unit cell a=4.4583 b=4.4583 c=4.4583 alpha=60.00 beta=60.00 gamma=60.00
With the nearest neighbours (Å) after each atom.
Element x y z (fractional)
1 In 0.0000 0.0000 0.0000  4 Cu 2.73, 4 Ir 2.73
2 Ir 0.2500 0.2500 0.2500  4 In 2.73, 4 Tc 2.73
3 Tc 0.5000 0.5000 0.5000  4 Cu 2.73, 4 Ir 2.73
4 Cu 0.7500 0.7500 0.7500  4 Tc 2.73, 4 In 2.73